(1)
This record from Alexandria via LeMat-Bulk describes a relaxed HPdSe2 crystal. The functional is PBE.

Total magnetic moment, μB/cell: 0.00
Crystal system: triclinic
Relative energy among the computed polymorphs, eV/atom: 0.000
Space group: P-1 (2)

Cell and atoms, written as POSCAR:
```
HPdSe2
1.0
3.686 0.000 0.000
1.829 6.666 0.000
0.083 2.624 6.518
H Pd Se
2 2 4
direct
0.207 0.085 0.071
0.793 0.915 0.929
0.099 0.311 0.779
0.901 0.689 0.221
0.292 0.905 0.291
0.483 0.543 0.817
0.517 0.457 0.183
0.708 0.095 0.709
```



(2)
This record from Alexandria via LeMat-Bulk describes a relaxed K2ScSiTc crystal. The functional is PBE.

Total magnetic moment, μB/cell: 0.97
Crystal system: tetragonal
ΔE_f (raw), meV per atom: 1182
Space group: P4/mmm (123)

Cell and atoms, written as POSCAR:
```
K2ScSiTc
1.0
6.218 0.000 0.000
0.000 6.218 0.000
0.000 0.000 4.582
K Sc Si Tc
2 1 1 1
direct
0.000 0.500 0.000
0.500 0.000 0.000
0.000 0.000 0.500
0.500 0.500 0.500
0.500 0.500 0.000
```



(3)
This record from Alexandria via LeMat-Bulk describes a relaxed Al2CoHPd crystal. The functional is PBE.

Calculated total energy, eV for the cell shown: -25.4
Total magnetic moment, μB/cell: 0.33
Crystal system: tetragonal
Space group: P4/mmm (123)

Cell and atoms, written as POSCAR:
```
Al2CoHPd
1.0
4.168 0.000 0.000
0.000 4.168 0.000
0.000 0.000 3.196
Al Co H Pd
2 1 1 1
direct
0.000 0.500 0.000
0.500 0.000 0.000
0.000 0.000 0.500
0.000 0.000 0.000
0.500 0.500 0.500
```



(4)
This record from Alexandria via LeMat-Bulk describes a relaxed Hf6Ga3Se crystal. The functional is PBE.

Total magnetic moment, μB/cell: 0.00
Crystal system: orthorhombic
ΔE_f (raw), meV per atom: -259
Space group: Cmc2_1 (36)

Cell and atoms, written as POSCAR:
```
Hf6Ga3Se
1.0
4.843 -6.468 0.000
4.843 6.468 0.000
0.000 0.000 6.625
Hf Ga Se
12 6 2
direct
0.028 0.972 0.500
0.112 0.520 0.976
0.234 0.327 0.351
0.289 0.711 0.398
0.327 0.234 0.851
0.480 0.888 0.976
0.520 0.112 0.476
0.673 0.766 0.351
0.711 0.289 0.898
0.766 0.673 0.851
0.888 0.480 0.476
0.972 0.028 0.000
0.016 0.265 0.697
0.265 0.016 0.197
0.456 0.544 0.070
0.544 0.456 0.570
0.735 0.984 0.697
0.984 0.735 0.197
0.179 0.821 0.756
0.821 0.179 0.256
```



(5)
This record from Alexandria via LeMat-Bulk describes a relaxed Rb3YBe crystal. The functional is PBE.

Total magnetic moment, μB/cell: 3.95
Crystal system: cubic
Relative energy among the computed polymorphs, eV/atom: 0.369
Space group: Pm-3m (221)

Cell and atoms, written as POSCAR:
```
Rb3YBe
1.0
7.619 0.000 0.000
0.000 7.619 0.000
0.000 0.000 7.619
Rb Y Be
3 1 1
direct
0.000 0.000 0.500
0.000 0.500 0.000
0.500 0.000 0.000
0.000 0.000 0.000
0.500 0.500 0.500
```



(6)
This record from Alexandria via LeMat-Bulk describes a relaxed Sn5Au4 crystal. The functional is PBE.

Calculated total energy, eV for the cell shown: -33.3
Total magnetic moment, μB/cell: 0.00
Crystal system: monoclinic
Space group: C2/m (12)

Cell and atoms, written as POSCAR:
```
Sn5Au4
1.0
5.338 -5.405 0.000
5.338 5.405 0.000
-0.092 0.000 3.845
Sn Au
5 4
direct
0.000 0.000 0.000
0.304 0.304 0.484
0.347 0.653 0.000
0.653 0.347 0.000
0.696 0.696 0.516
0.058 0.675 0.491
0.325 0.942 0.509
0.675 0.058 0.491
0.942 0.325 0.509
```



(7)
This record from Alexandria via LeMat-Bulk describes a relaxed CaEr2Pt crystal. The functional is PBE.

Total magnetic moment, μB/cell: 0.00
Crystal system: trigonal
Relative energy among the computed polymorphs, eV/atom: 0.010
Space group: R-3m (166)

Cell and atoms, written as POSCAR:
```
CaEr2Pt
1.0
2.026 1.170 9.276
-2.026 1.170 9.276
0.000 -2.339 9.276
Ca Er Pt
1 2 1
direct
0.000 0.000 0.000
0.220 0.220 0.220
0.780 0.780 0.780
0.500 0.500 0.500
```



> What is the formula in the fifth record?

Rb3YBe